A plane-wave DFT calculation with PBE+U was carried out for a geometry-optimized Rb3CdMo2O8 structure.

The structure in CIF format:
```
data_Rb3CdMo2O8
_chemical_formula_sum 'Rb3 Cd1 Mo2 O8'
_symmetry_space_group_name_H-M 'P 1'
_symmetry_Int_Tables_number 1
_cell_length_a 6.356
_cell_length_b 6.356
_cell_length_c 8.165
_cell_angle_alpha 90.00
_cell_angle_beta 90.00
_cell_angle_gamma 120.00
loop_
_symmetry_equiv_pos_as_xyz
'x,y,z'
loop_
_atom_site_label
_atom_site_type_symbol
_atom_site_fract_x
_atom_site_fract_y
_atom_site_fract_z
_atom_site_occupancy
Rb1 Rb 0.333 0.667 0.664 1
Rb2 Rb 0.667 0.333 0.336 1
Rb3 Rb 0.000 0.000 0.000 1
Cd1 Cd 0.000 0.000 0.500 1
Mo1 Mo 0.333 0.667 0.216 1
Mo2 Mo 0.667 0.333 0.784 1
O1 O 0.333 0.667 0.998 1
O2 O 0.667 0.333 0.002 1
O3 O 0.179 0.821 0.295 1
O4 O 0.821 0.179 0.705 1
O5 O 0.179 0.359 0.295 1
O6 O 0.821 0.641 0.705 1
O7 O 0.641 0.821 0.295 1
O8 O 0.359 0.179 0.705 1
```

Summary:
For the density of states at the Fermi level, the calculation gives 1.68 states/eV per cell. Its crystal system is trigonal. As for the total energy: -5.76 eV/atom.